Material: CsLiTcS3
Method: DFT, PBE-GGA
State: optimized geometry

```
data_CsLiTcS3
_chemical_formula_sum 'Cs4 Li4 Tc4 S12'
_space_group_name_H-M_alt 'P n m a'
_space_group_IT_number 62
_cell_length_a 15.364
_cell_length_b 3.745
_cell_length_c 9.860
_cell_angle_alpha 90.00
_cell_angle_beta 90.00
_cell_angle_gamma 90.00
loop_
_space_group_symop_operation_xyz
'x,y,z'
'-x,-y,-z'
'-x+1/2,-y,z+1/2'
'x+1/2,y,-z+1/2'
'x+1/2,-y+1/2,-z+1/2'
'-x+1/2,y+1/2,z+1/2'
'-x,y+1/2,-z'
'x,-y+1/2,z'
loop_
_atom_site_label
_atom_site_fract_x
_atom_site_fract_y
_atom_site_fract_z
_atom_site_occupancy
Cs1 0.235 0.250 0.041 1
Li1 0.013 0.750 0.095 1
Tc1 0.013 0.250 0.339 1
S1 0.075 0.250 0.569 1
S2 0.075 0.750 0.862 1
S3 0.111 0.750 0.275 1
```

## Properties
**Theoretical density**: 3.9 g cm⁻³
**Total energy**: -120.43 eV/cell

***

Material: NaNbAsO
Method: DFT, PBE-GGA
State: optimized geometry

```
data_NaNbAsO
_chemical_formula_sum 'Na2 Nb2 As2 O2'
_space_group_name_H-M_alt 'P 4/n m m'
_space_group_IT_number 129
_cell_length_a 3.622
_cell_length_b 3.622
_cell_length_c 9.454
_cell_angle_alpha 90.00
_cell_angle_beta 90.00
_cell_angle_gamma 90.00
loop_
_space_group_symop_operation_xyz
'x,y,z'
'-x,-y,-z'
'-y+1/2,x,z'
'y+1/2,-x,-z'
'-x+1/2,-y+1/2,z'
'x+1/2,y+1/2,-z'
'y,-x+1/2,z'
'-y,x+1/2,-z'
'x+1/2,-y,-z'
'-x+1/2,y,z'
'-y,-x,-z'
'y,x,z'
'-x,y+1/2,-z'
'x,-y+1/2,z'
'y+1/2,x+1/2,-z'
'-y+1/2,-x+1/2,z'
loop_
_atom_site_label
_atom_site_fract_x
_atom_site_fract_y
_atom_site_fract_z
_atom_site_occupancy
Na1 0.250 0.750 0.000 1
Nb1 0.250 0.250 0.372 1
As1 0.250 0.250 0.766 1
O1 0.250 0.750 0.500 1
```

## Properties
**Theoretical density**: 5.5 g cm⁻³
**Energy above the most stable polymorph in this dataset**: 1.406 eV/f.u.

***

Material: NbAlBi
Method: DFT, PBE-GGA
State: optimized geometry

```
data_NbAlBi
_chemical_formula_sum 'Nb4 Al4 Bi4'
_space_group_name_H-M_alt 'F -4 3 m'
_space_group_IT_number 216
_space_group_name_Hall 'F -4 2 3'
_cell_length_a 6.749
_cell_length_b 6.749
_cell_length_c 6.749
_cell_angle_alpha 90.00
_cell_angle_beta 90.00
_cell_angle_gamma 90.00
loop_
_atom_site_label
_atom_site_fract_x
_atom_site_fract_y
_atom_site_fract_z
_atom_site_occupancy
Nb1 0.000 0.000 0.000 1
Al1 0.000 0.000 0.500 1
Bi1 0.250 0.250 0.750 1
```

## Properties
**Theoretical density**: 7.1 g cm⁻³
**Total energy**: -60.15 eV/cell

***

Material: Li4SiIrO6
Method: DFT, PBE-GGA
State: optimized geometry

```
data_Li4SiIrO6
_chemical_formula_sum 'Li8 Si2 Ir2 O12'
_space_group_name_H-M_alt 'C 1 2 1'
_space_group_IT_number 5
_cell_length_a 5.001
_cell_length_b 8.642
_cell_length_c 4.970
_cell_angle_alpha 90.00
_cell_angle_beta 110.01
_cell_angle_gamma 90.00
loop_
_space_group_symop_operation_xyz
'x,y,z'
'-x,y,-z'
'x+1/2,y+1/2,z'
'-x+1/2,y+1/2,-z'
loop_
_atom_site_label
_atom_site_fract_x
_atom_site_fract_y
_atom_site_fract_z
_atom_site_occupancy
Li1 0.000 0.000 0.000 1
Li2 0.000 0.161 0.500 1
Li3 0.000 0.498 0.500 1
Li4 0.000 0.838 0.500 1
Si1 0.000 0.332 0.000 1
Ir1 0.000 0.667 0.000 1
O1 0.220 0.484 0.225 1
O2 0.224 0.330 0.781 1
O3 0.229 0.185 0.225 1
```

## Properties
**Theoretical density**: 5.7 g cm⁻³
**Total energy**: -148.64 eV/cell

***

Material: ReSn
Method: DFT, PBE-GGA
State: optimized geometry

```
data_ReSn
_chemical_formula_sum 'Re4 Sn4'
_space_group_name_H-M_alt 'F -4 3 m'
_space_group_IT_number 216
_space_group_name_Hall 'F -4 2 3'
_cell_length_a 6.135
_cell_length_b 6.135
_cell_length_c 6.135
_cell_angle_alpha 90.00
_cell_angle_beta 90.00
_cell_angle_gamma 90.00
loop_
_atom_site_label
_atom_site_fract_x
_atom_site_fract_y
_atom_site_fract_z
_atom_site_occupancy
Re1 0.000 0.000 0.000 1
Sn1 0.250 0.250 0.750 1
```

## Properties
**Theoretical density**: 8.8 g cm⁻³
**Energy above the most stable polymorph in this dataset**: 2.453 eV/f.u.

***

Material: NdTmIn2Pd4
Method: DFT, PBE-GGA
State: optimized geometry

```
data_NdTmIn2Pd4
_chemical_formula_sum 'Nd1 Tm1 In2 Pd4'
_space_group_name_H-M_alt 'P -6 m 2'
_space_group_IT_number 187
_space_group_name_Hall 'P -6 2'
_cell_length_a 4.6101
_cell_length_b 4.6101
_cell_length_c 9.0069
_cell_angle_alpha 90.00
_cell_angle_beta 90.00
_cell_angle_gamma 120.00
loop_
_atom_site_label
_atom_site_fract_x
_atom_site_fract_y
_atom_site_fract_z
_atom_site_occupancy
Nd1 0.0000 0.0000 0.0000 1
Tm1 0.6667 0.3333 0.5000 1
In1 0.3333 0.6667 0.2587 1
Pd1 0.0000 0.0000 0.3413 1
Pd2 0.6667 0.3333 0.1723 1
```

## Properties
**Theoretical density**: 9.7 g cm⁻³
**Total energy**: -41.85 eV/cell

***

Material: Tb3Ni
Method: DFT, PBE-GGA
State: optimized geometry

```
data_Tb3Ni
_chemical_formula_sum 'Tb12 Ni4'
_space_group_name_H-M_alt 'F m -3 m'
_space_group_IT_number 225
_space_group_name_Hall '-F 4 2 3'
_cell_length_a 7.411
_cell_length_b 7.411
_cell_length_c 7.411
_cell_angle_alpha 90.00
_cell_angle_beta 90.00
_cell_angle_gamma 90.00
loop_
_atom_site_label
_atom_site_fract_x
_atom_site_fract_y
_atom_site_fract_z
_atom_site_occupancy
Tb1 0.000 0.000 0.000 1
Tb2 0.250 0.250 0.250 1
Ni1 0.000 0.000 0.500 1
```

## Properties
**E_form**: 0.21 eV per atom
**Theoretical density**: 8.7 g cm⁻³

***

Material: Pm2ThCd
Method: DFT, PBE-GGA
State: optimized geometry

```
data_Pm2ThCd
_chemical_formula_sum 'Pm2 Th1 Cd1'
_space_group_name_H-M_alt 'P 4/m m m'
_space_group_IT_number 123
_space_group_name_Hall '-P 4 2'
_cell_length_a 3.648
_cell_length_b 3.648
_cell_length_c 9.060
_cell_angle_alpha 90.00
_cell_angle_beta 90.00
_cell_angle_gamma 90.00
loop_
_atom_site_label
_atom_site_fract_x
_atom_site_fract_y
_atom_site_fract_z
_atom_site_occupancy
Pm1 0.000 0.000 0.234 1
Th1 0.500 0.500 0.500 1
Cd1 0.500 0.500 0.000 1
```

## Properties
**E_form**: -0.18 eV per atom
**Theoretical density**: 8.7 g cm⁻³

***

- What is the theoretical density in the fifth record?
  8.8 g cm⁻³

***

- The highest theoretical density belongs to which entry?
  NdTmIn2Pd4